# CaLaPb

An optimized crystal structure of CaLaPb (PBE-GGA, Alexandria via LeMat-Bulk).

Calculated values
Magnetic moment: 0.00 μB/f.u.
Energy relative to the elements: -38.1 kJ per mole of atoms

abc: 7.673 7.673 7.673
angles: 90.00 90.00 90.00
Fractional positions:
Ca 0.000 0.000 0.000
Ca 0.000 0.500 0.500
Ca 0.500 0.000 0.500
Ca 0.500 0.500 0.000
La 0.000 0.000 0.500
La 0.000 0.500 0.000
La 0.500 0.000 0.000
La 0.500 0.500 0.500
Pb 0.250 0.250 0.250
Pb 0.250 0.750 0.750
Pb 0.750 0.250 0.750
Pb 0.750 0.750 0.250